Record 1
A relaxed structure of SrBeNi3, computed with GGA-PBE.

Results
DOS(E_F), states/eV per cell: 1.49
E_tot, eV per atom: -4.46
Magnetic moment, μB per formula unit: 0.00
Space group: No. 221
Formation energy, meV per atom: 86

Cell lengths 4.1999, 4.1999, 4.1999 Å; angles 90.00, 90.00, 90.00 degrees
Closest atoms and distances in Å follow each position.
Atoms (fractional coordinates):
Ni1 0.0000 0.0000 0.5000  2 Be 2.10
Ni2 0.0000 0.5000 0.0000  2 Be 2.10
Ni3 0.5000 0.0000 0.0000  2 Be 2.10
Sr1 0.5000 0.5000 0.5000  12 Ni 2.97
Be1 0.0000 0.0000 0.0000  6 Ni 2.10

Record 2
A relaxed structure of Zr12Cd3Au, computed with GGA-PBE.

Results
DOS(E_F), states/eV per cell: 21.38
E_tot, eV per atom: -6.90
Magnetic moment, μB per formula unit: 0.00
Space group: No. 123
Formation energy, meV per atom: -116

Cell lengths 4.4387, 4.4387, 17.8147 Å; angles 90.00, 90.00, 90.00 degrees
Closest atoms and distances in Å follow each position.
Atoms (fractional coordinates):
Cd1 0.0000 0.0000 0.7518  12 Zr 3.14-3.16
Cd2 0.0000 0.0000 0.5000  12 Zr 3.14-3.15
Cd3 0.0000 0.0000 0.2482  12 Zr 3.14-3.16
Zr1 0.0000 0.5000 0.8778  8 Zr 3.11-3.14, 2 Au 3.11, 2 Cd 3.16
Zr2 0.0000 0.5000 0.1222  8 Zr 3.11-3.14, 2 Au 3.11, 2 Cd 3.16
Zr3 0.5000 0.5000 0.2470  4 Cd 3.14, 8 Zr 3.14-3.17
Zr4 0.5000 0.5000 0.0000  8 Zr 3.11, 4 Au 3.14
Zr5 0.0000 0.5000 0.3742  8 Zr 3.14-3.17, 4 Cd 3.15-3.16
Zr6 0.5000 0.5000 0.7530  4 Cd 3.14, 8 Zr 3.14-3.17
Zr7 0.5000 0.0000 0.1222  2 Au 3.11, 8 Zr 3.11-3.14, 2 Cd 3.16
Zr8 0.5000 0.0000 0.3742  8 Zr 3.14-3.17, 4 Cd 3.15-3.16
Zr9 0.5000 0.5000 0.5000  4 Cd 3.14, 8 Zr 3.15
Zr10 0.5000 0.0000 0.6258  8 Zr 3.14-3.17, 4 Cd 3.15-3.16
Zr11 0.5000 0.0000 0.8778  2 Au 3.11, 8 Zr 3.11-3.14, 2 Cd 3.16
Zr12 0.0000 0.5000 0.6258  8 Zr 3.14-3.17, 4 Cd 3.15-3.16
Au1 0.0000 0.0000 0.0000  12 Zr 3.11-3.14

Record 3
A relaxed structure of Ce2InRu, computed with GGA-PBE.

Results
DOS(E_F), states/eV per cell: 6.95
E_tot, eV per atom: -6.29
Magnetic moment, μB per formula unit: 0.62
Space group: No. 123
Formation energy, meV per atom: -320

Cell lengths 3.7285, 3.7285, 6.8395 Å; angles 90.00, 90.00, 90.00 degrees
Closest atoms and distances in Å follow each position.
Atoms (fractional coordinates):
In1 0.5000 0.5000 0.5000  8 Ce 3.32, 2 Ru 3.42
Ce1 0.0000 0.0000 0.2054  1 Ce 2.81, 4 Ru 2.99
Ce2 0.0000 0.0000 0.7946  1 Ce 2.81, 4 Ru 2.99
Ru1 0.5000 0.5000 0.0000  8 Ce 2.99

Record 4
A relaxed structure of TcAsW2, computed with GGA-PBE.

Results
DOS(E_F), states/eV per cell: 2.84
E_tot, eV per atom: -9.98
Magnetic moment, μB per formula unit: 0.00
Space group: No. 8
Formation energy, meV per atom: 250

Cell lengths 4.7882, 4.7882, 4.6937 Å; angles 75.43, 75.43, 37.12 degrees
Closest atoms and distances in Å follow each position.
Atoms (fractional coordinates):
As1 0.5004 0.5004 0.5386  7 W 2.63-2.85, 2 Tc 2.86
W1 0.9902 0.9902 0.0554  3 Tc 2.57-2.66, 4 As 2.75-2.85
W2 0.7558 0.7558 0.7014  3 As 2.63, 4 Tc 2.79-2.81
Tc1 0.2537 0.2537 0.2045  7 W 2.57-2.81, 2 As 2.86